(1)
Material: Np2TlTeSe4
Method: DFT, PBE
State: relaxed

Volume ... 26.75 Å³ per atom
E_form (uncorrected) ... -0.69 eV/atom

Unit cell a=7.379 b=7.379 c=14.779 alpha=90.00 beta=90.00 gamma=147.87
Fractional coordinates of all 16 atoms:
Np1 0.125 0.875 0.585
Np2 0.125 0.875 0.915
Np3 0.875 0.125 0.085
Np4 0.875 0.125 0.415
Tl1 0.327 0.673 0.750
Tl2 0.673 0.327 0.250
Te1 0.380 0.620 0.250
Te2 0.620 0.380 0.750
Se1 0.024 0.976 0.250
Se2 0.229 0.771 0.085
Se3 0.229 0.771 0.415
Se4 0.500 0.500 0.000
Se5 0.500 0.500 0.500
Se6 0.771 0.229 0.585
Se7 0.771 0.229 0.915
Se8 0.976 0.024 0.750

---

(2)
Material: Sr2AlAs
Method: DFT, PBE
State: relaxed

Volume ... 29.53 Å³ per atom
E_form ... -399 meV/atom

Unit cell a=5.508 b=5.508 c=5.508 alpha=60.00 beta=60.00 gamma=60.00
Fractional coordinates of all 4 atoms:
Sr1 0.250 0.250 0.250
Sr2 0.750 0.750 0.750
Al1 0.000 0.000 0.000
As1 0.500 0.500 0.500

---

(3)
Material: Ni5Mo12Os3
Method: DFT, PBE
State: relaxed

Volume ... 18.12 Å³ per atom
E_form ... 940 meV/atom

Unit cell a=12.350 b=12.350 c=12.350 alpha=109.47 beta=109.47 gamma=109.47
Fractional coordinates of all 80 atoms:
Ni1 0.000 0.000 0.000
Ni2 0.000 0.000 0.500
Ni3 0.000 0.500 0.000
Ni4 0.000 0.500 0.500
Ni5 0.125 0.750 0.875
Ni6 0.125 0.875 0.250
Ni7 0.250 0.125 0.875
Ni8 0.250 0.625 0.375
Ni9 0.375 0.250 0.625
Ni10 0.375 0.625 0.750
Ni11 0.500 0.000 0.000
Ni12 0.500 0.000 0.500
Ni13 0.500 0.500 0.000
Ni14 0.500 0.500 0.500
Ni15 0.625 0.375 0.250
Ni16 0.625 0.750 0.375
Ni17 0.750 0.375 0.625
Ni18 0.750 0.875 0.125
Ni19 0.875 0.125 0.750
Ni20 0.875 0.250 0.125
Mo1 0.058 0.229 0.138
Mo2 0.058 0.328 0.919
Mo3 0.081 0.638 0.409
Mo4 0.081 0.942 0.672
Mo5 0.091 0.729 0.672
Mo6 0.091 0.862 0.419
Mo7 0.138 0.058 0.229
Mo8 0.138 0.581 0.909
Mo9 0.172 0.229 0.591
Mo10 0.172 0.442 0.581
Mo11 0.229 0.138 0.058
Mo12 0.229 0.591 0.172
Mo13 0.271 0.328 0.909
Mo14 0.271 0.442 0.362
Mo15 0.328 0.909 0.271
Mo16 0.328 0.919 0.058
Mo17 0.362 0.271 0.442
Mo18 0.362 0.591 0.919
Mo19 0.409 0.081 0.638
Mo20 0.409 0.828 0.771
Mo21 0.419 0.091 0.862
Mo22 0.419 0.828 0.558
Mo23 0.442 0.362 0.271
Mo24 0.442 0.581 0.172
Mo25 0.558 0.419 0.828
Mo26 0.558 0.638 0.729
Mo27 0.581 0.172 0.442
Mo28 0.581 0.909 0.138
Mo29 0.591 0.172 0.229
Mo30 0.591 0.919 0.362
Mo31 0.638 0.409 0.081
Mo32 0.638 0.729 0.558
Mo33 0.672 0.081 0.942
Mo34 0.672 0.091 0.729
Mo35 0.729 0.558 0.638
Mo36 0.729 0.672 0.091
Mo37 0.771 0.409 0.828
Mo38 0.771 0.862 0.942
Mo39 0.828 0.558 0.419
Mo40 0.828 0.771 0.409
Mo41 0.862 0.419 0.091
Mo42 0.862 0.942 0.771
Mo43 0.909 0.138 0.581
Mo44 0.909 0.271 0.328
Mo45 0.919 0.058 0.328
Mo46 0.919 0.362 0.591
Mo47 0.942 0.672 0.081
Mo48 0.942 0.771 0.862
Os1 0.125 0.250 0.375
Os2 0.125 0.375 0.750
Os3 0.250 0.375 0.125
Os4 0.250 0.875 0.625
Os5 0.375 0.125 0.250
Os6 0.375 0.750 0.125
Os7 0.625 0.250 0.875
Os8 0.625 0.875 0.750
Os9 0.750 0.125 0.375
Os10 0.750 0.625 0.875
Os11 0.875 0.625 0.250
Os12 0.875 0.750 0.625

---

(4)
Material: Ta2BeCl
Method: DFT, PBE
State: relaxed

Volume ... 19.52 Å³ per atom
E_form (uncorrected) ... 0.15 eV/atom

Unit cell a=2.881 b=2.881 c=9.407 alpha=90.00 beta=90.00 gamma=90.00
Fractional coordinates of all 4 atoms:
Ta1 0.000 0.000 0.000
Ta2 0.500 0.500 0.252
Be1 0.000 0.000 0.420
Cl1 0.500 0.500 0.824

---

Number 1: total energy -6.355 eV per atom, density 8.7 Mg/m³. Number 2: total energy -3.338 eV per atom, density 3.9 Mg/m³. Number 3: total energy -8.688 eV per atom, density 9.2 Mg/m³. Number 4: total energy -7.169 eV per atom, density 8.6 Mg/m³.